[1]
Computed, not measured: a relaxed Ca2GaGe4Au3 crystal at the GGA-PBE level of DFT.

a = 4.270 Å, b = 4.270 Å, c = 11.490 Å
α = 90.00°, β = 90.00°, γ = 90.00°
Fractional coordinates of all 10 atoms:
Ca (0.000, 0.500, 0.246)
Ca (0.500, 0.000, 0.754)
Ga (0.500, 0.500, 0.000)
Ge (0.000, 0.000, 0.500)
Ge (0.000, 0.500, 0.862)
Ge (0.500, 0.000, 0.138)
Ge (0.500, 0.500, 0.500)
Au (0.000, 0.000, 0.000)
Au (0.000, 0.500, 0.644)
Au (0.500, 0.000, 0.356)

Computed properties:
DOS at the Fermi energy: 2.71 states/eV per cell
size of the total moment: 0.0 μB/cell
energy relative to the elements: -0.43 eV per atom

=====

[2]
Computed, not measured: a relaxed LaCo6P3 crystal at the GGA-PBE level of DFT.

a = 5.288 Å, b = 5.372 Å, c = 6.038 Å
α = 63.72°, β = 88.29°, γ = 61.37°
Fractional coordinates of all 10 atoms:
La (0.000, 0.000, 0.000)
Co (0.045, 0.370, 0.237)
Co (0.349, 0.787, 0.582)
Co (0.415, 0.240, 0.620)
Co (0.527, 0.932, 0.136)
Co (0.547, 0.369, 0.188)
Co (0.849, 0.736, 0.559)
P (0.237, 0.454, 0.874)
P (0.651, 0.714, 0.887)
P (0.702, 0.450, 0.469)

Computed properties:
DOS at the Fermi energy: 7.91 states/eV per cell
size of the total moment: 0.3 μB/cell
energy relative to the elements: -0.48 eV per atom

=====

[3]
Computed, not measured: a relaxed TbGd2Pu crystal at the GGA-PBE level of DFT.

a = 5.015 Å, b = 5.015 Å, c = 4.957 Å
α = 90.00°, β = 90.00°, γ = 90.00°
Fractional coordinates of all 4 atoms:
Tb (0.000, 0.000, 0.000)
Gd (0.000, 0.500, 0.500)
Gd (0.500, 0.000, 0.500)
Pu (0.500, 0.500, 0.000)

Computed properties:
DOS at the Fermi energy: 15.43 states/eV per cell
size of the total moment: 21.4 μB/cell
energy relative to the elements: 0.14 eV per atom

=====

[4]
Computed, not measured: a relaxed LiPaTe4 crystal at the GGA-PBE level of DFT.

a = 5.024 Å, b = 5.024 Å, c = 7.904 Å
α = 96.45°, β = 96.45°, γ = 99.98°
Fractional coordinates of all 6 atoms:
Li (0.000, 0.000, 0.000)
Pa (0.500, 0.500, 0.500)
Te (0.052, 0.550, 0.742)
Te (0.450, 0.948, 0.258)
Te (0.550, 0.052, 0.742)
Te (0.948, 0.450, 0.258)

Computed properties:
DOS at the Fermi energy: 1.60 states/eV per cell
formation energy without anion corrections: -660 meV/atom
size of the total moment: 0.0 μB/cell

=====

[5]
Computed, not measured: a relaxed Ca3Pr2UAs6 crystal at the GGA-PBE level of DFT.

a = 7.366 Å, b = 7.366 Å, c = 7.304 Å
α = 99.76°, β = 99.76°, γ = 119.97°
Fractional coordinates of all 12 atoms:
Ca (0.000, 0.000, 0.000)
Ca (0.329, 0.671, 0.000)
Ca (0.671, 0.329, 0.000)
Pr (0.166, 0.834, 0.500)
Pr (0.834, 0.166, 0.500)
U (0.500, 0.500, 0.500)
As (0.110, 0.422, 0.263)
As (0.270, 0.270, 0.734)
As (0.422, 0.110, 0.263)
As (0.578, 0.890, 0.737)
As (0.730, 0.730, 0.266)
As (0.890, 0.578, 0.737)

Computed properties:
size of the total moment: 0.0 μB/cell
energy relative to the elements: -1.20 eV per atom

=====

[6]
Computed, not measured: a relaxed TaIn2Os crystal at the GGA-PBE level of DFT.

a = 3.072 Å, b = 8.494 Å, c = 8.494 Å
α = 21.32°, β = 90.00°, γ = 90.00°
Fractional coordinates of all 4 atoms:
Ta (0.000, 0.000, 0.000)
In (0.000, 0.795, 0.795)
In (0.500, 0.630, 0.630)
Os (0.500, 0.411, 0.411)

Computed properties:
DOS at the Fermi energy: 1.74 states/eV per cell
size of the total moment: 0.0 μB/cell
energy relative to the elements: 0.04 eV per atom

=====

[7]
Computed, not measured: a relaxed SiBr3N crystal at the GGA-PBE level of DFT.

a = 5.101 Å, b = 5.101 Å, c = 5.101 Å
α = 90.00°, β = 90.00°, γ = 90.00°
Fractional coordinates of all 5 atoms:
Si (0.000, 0.000, 0.000)
Br (0.000, 0.000, 0.500)
Br (0.000, 0.500, 0.000)
Br (0.500, 0.000, 0.000)
N (0.500, 0.500, 0.500)

Computed properties:
DOS at the Fermi energy: 1.28 states/eV per cell
formation energy without anion corrections: 838 meV/atom
size of the total moment: 3.0 μB/cell

=====

[8]
Computed, not measured: a relaxed BiTe2AsIr crystal at the GGA-PBE level of DFT.

a = 5.857 Å, b = 5.857 Å, c = 5.016 Å
α = 90.00°, β = 90.00°, γ = 90.00°
Fractional coordinates of all 5 atoms:
Bi (0.000, 0.000, 0.000)
Te (0.000, 0.500, 0.000)
Te (0.500, 0.000, 0.000)
As (0.500, 0.500, 0.500)
Ir (0.000, 0.000, 0.500)

Computed properties:
DOS at the Fermi energy: 7.33 states/eV per cell
formation energy without anion corrections: 1449 meV/atom
size of the total moment: 0.1 μB/cell

=====

[9]
Computed, not measured: a relaxed Nd2Er2Tl crystal at the GGA-PBE level of DFT.

a = 5.477 Å, b = 5.477 Å, c = 12.202 Å
α = 90.00°, β = 90.00°, γ = 120.00°
Fractional coordinates of all 10 atoms:
Nd (0.333, 0.667, 0.086)
Nd (0.333, 0.667, 0.414)
Nd (0.667, 0.333, 0.586)
Nd (0.667, 0.333, 0.914)
Er (0.000, 0.000, 0.000)
Er (0.000, 0.000, 0.500)
Er (0.333, 0.667, 0.750)
Er (0.667, 0.333, 0.250)
Tl (0.000, 0.000, 0.250)
Tl (0.000, 0.000, 0.750)

Computed properties:
DOS at the Fermi energy: 15.19 states/eV per cell
size of the total moment: 0.0 μB/cell
energy relative to the elements: 0.00 eV per atom

=====

[10]
Computed, not measured: a relaxed Cs2HgTeAu crystal at the GGA-PBE level of DFT.

a = 7.234 Å, b = 7.234 Å, c = 5.510 Å
α = 90.00°, β = 90.00°, γ = 90.00°
Fractional coordinates of all 5 atoms:
Cs (0.000, 0.500, 0.000)
Cs (0.500, 0.000, 0.000)
Hg (0.000, 0.000, 0.000)
Te (0.000, 0.000, 0.500)
Au (0.500, 0.500, 0.500)

Computed properties:
DOS at the Fermi energy: 0.32 states/eV per cell
formation energy without anion corrections: -291 meV/atom
size of the total moment: 0.0 μB/cell